Ce2Sm6YHo3, optimized geometry, DFT PBE-GGA; space group = C2/m (12); E_form = 1.24 kcal/mol of atoms
1.0
-2.7681 -3.4231 -4.3727
4.3711 -2.5222 3.6101
-8.7249 -1.2062 7.9389
Ho Y Sm Ce
3 1 6 2
Direct
0.8338 0.1662 0.5000
0.5000 0.5000 0.5000
0.1662 0.8338 0.5000
0.0000 0.0000 0.0000
0.0840 0.4201 0.2501
0.9160 0.5799 0.7499
0.4201 0.0840 0.2501
0.2520 0.2520 0.7495
0.5799 0.9160 0.7499
0.7480 0.7480 0.2505
0.6666 0.3334 0.0000
0.3334 0.6666 0.0000

***

LiTl2Te2, optimized geometry, DFT PBE-GGA; excess energy over the best structure of this formula in the dataset = 1.15 eV/f.u.; space group = I4/mmm (139); formation energy (no corrections) = -172 meV/atom
1.0
-0.3753 -0.9620 -5.9173
-5.6607 -1.8952 0.6671
-4.5737 2.9994 -3.2463
Te Tl Li
2 2 1
Direct
0.2500 0.7500 0.5000
0.7500 0.2500 0.5000
0.6579 0.6579 0.6841
0.3421 0.3421 0.3159
0.0000 0.0000 0.0000

***

Li2LaCl, optimized geometry, DFT PBE-GGA; excess energy over the best structure of this formula in the dataset = 0.11 eV/f.u.; space group = Cmmm (65); formation energy (no corrections) = -694 meV/atom
1.0
-1.8584 -2.9051 0.0378
0.8512 1.1996 -3.1195
7.8819 -5.0392 0.2129
Li La Cl
2 1 1
Direct
0.0000 0.0000 0.4184
0.0000 0.0000 0.0816
0.5000 0.5000 0.7500
0.5000 0.5000 0.2500

***

TaSbIr2, optimized geometry, DFT PBE-GGA; space group = C2/m (12); formation energy (no corrections) = -47 meV/atom
1.0
4.8986 -0.0075 0.0190
3.9882 2.8444 0.0190
0.7127 0.2275 4.8971
Ta Ir Sb
1 2 1
Direct
0.2500 0.2500 0.2500
0.9934 0.9934 0.0181
0.5066 0.5066 0.4819
0.7500 0.7500 0.7500

***

The records above give, respectively, total moment values of 2.16, 0.00, 0.00, 0.00 Bohr magnetons per cell.
The records above give, respectively, theoretical density values of 7.5, 6.5, 3.1, 16.7 g/cm³.